## i
Material: NdGd2Pu
Method: DFT, GGA-PBE
State: relaxed

Cell lengths 5.649, 5.649, 5.649 Å; angles 60.00, 60.00, 60.00 degrees
Last column: magnetic moment on the atom in μB.
Sites, in units of the cell vectors:
Gd (0.250, 0.250, 0.250)  6.95
Gd (0.750, 0.750, 0.750)  6.95
Pu (0.000, 0.000, 0.000)  -5.53
Nd (0.500, 0.500, 0.500)  0.01

---

## ii
Material: NdGd2Pu
Method: DFT, GGA-PBE
State: relaxed

Cell lengths 3.568, 3.568, 10.081 Å; angles 90.00, 90.00, 90.00 degrees
Last column: magnetic moment on the atom in μB.
Sites, in units of the cell vectors:
Gd (0.000, 0.000, 0.759)  7.23
Gd (0.000, 0.000, 0.241)  7.23
Pu (0.500, 0.500, 0.000)  5.65
Nd (0.500, 0.500, 0.500)  -0.07

---

Stability, highest: ii

---

## i
Material: Nd2GdPu
Method: DFT, GGA-PBE
State: relaxed

Cell lengths 5.705, 5.705, 5.705 Å; angles 60.00, 60.00, 60.00 degrees
Last column: magnetic moment on the atom in μB.
Sites, in units of the cell vectors:
Nd (0.750, 0.750, 0.750)  0.22
Nd (0.250, 0.250, 0.250)  0.22
Gd (0.000, 0.000, 0.000)  7.31
Pu (0.500, 0.500, 0.500)  5.60

---

## ii
Material: Nd2GdPu
Method: DFT, GGA-PBE
State: relaxed

Cell lengths 5.051, 5.062, 5.062 Å; angles 90.00, 90.00, 90.00 degrees
Last column: magnetic moment on the atom in μB.
Sites, in units of the cell vectors:
Gd (0.500, 0.500, 0.500)  -7.05
Nd (0.000, 0.500, 0.000)  0.05
Nd (0.000, 0.000, 0.500)  0.05
Pu (0.500, 0.000, 0.000)  5.51

---

Stability, highest: ii

---

## i
Material: NdGd2Ru
Method: DFT, GGA-PBE
State: relaxed

Cell lengths 3.470, 3.470, 9.140 Å; angles 90.00, 90.00, 90.00 degrees
Last column: magnetic moment on the atom in μB.
Sites, in units of the cell vectors:
Gd (0.000, 0.000, 0.819)  7.04
Gd (0.000, 0.000, 0.181)  7.04
Ru (0.500, 0.500, 0.000)  -0.23
Nd (0.500, 0.500, 0.500)  -0.02

---

## ii
Material: NdGd2Ru
Method: DFT, GGA-PBE
State: relaxed

Cell lengths 4.758, 4.758, 6.080 Å; angles 66.97, 66.97, 60.00 degrees
Last column: magnetic moment on the atom in μB.
Sites, in units of the cell vectors:
Ru (0.000, 0.000, 0.000)  -0.22
Gd (0.275, 0.275, 0.176)  7.08
Gd (0.725, 0.725, 0.824)  7.08
Nd (0.500, 0.500, 0.500)  0.08

---

Stability, highest: i

---

## i
Material: NdGd2Sb
Method: DFT, GGA-PBE
State: relaxed

Cell lengths 5.485, 5.485, 5.485 Å; angles 60.00, 60.00, 60.00 degrees
Last column: magnetic moment on the atom in μB.
Sites, in units of the cell vectors:
Sb (0.000, 0.000, 0.000)  -0.05
Gd (0.250, 0.250, 0.250)  7.27
Gd (0.750, 0.750, 0.750)  7.27
Nd (0.500, 0.500, 0.500)  0.47

---

## ii
Material: NdGd2Sb
Method: DFT, GGA-PBE
State: relaxed

Cell lengths 4.062, 4.062, 7.317 Å; angles 90.00, 90.00, 90.00 degrees
Last column: magnetic moment on the atom in μB.
Sites, in units of the cell vectors:
Nd (0.500, 0.500, 0.000)  0.23
Gd (0.000, 0.000, 0.716)  7.26
Gd (0.000, 0.000, 0.284)  7.26
Sb (0.500, 0.500, 0.500)  -0.05

---

## iii
Material: NdGd2Sb
Method: DFT, GGA-PBE
State: relaxed

Cell lengths 4.877, 4.859, 4.859 Å; angles 90.00, 90.00, 90.00 degrees
Last column: magnetic moment on the atom in μB.
Sites, in units of the cell vectors:
Nd (0.500, 0.500, 0.500)  -0.03
Gd (0.000, 0.000, 0.500)  -7.18
Gd (0.000, 0.500, 0.000)  -7.18
Sb (0.500, 0.000, 0.000)  0.03

---

Stability, highest: iii

---

## i
Material: Nd2GdSi
Method: DFT, GGA-PBE
State: relaxed

Cell lengths 3.732, 3.732, 11.121 Å; angles 80.34, 80.34, 60.00 degrees
Last column: magnetic moment on the atom in μB.
Sites, in units of the cell vectors:
Nd (0.893, 0.893, 0.321)  0.03
Nd (0.107, 0.107, 0.679)  0.03
Gd (0.000, 0.000, 0.000)  7.33
Si (0.500, 0.500, 0.500)  0.01

---

## ii
Material: Nd2GdSi
Method: DFT, GGA-PBE
State: relaxed

Cell lengths 4.722, 4.767, 4.767 Å; angles 90.00, 90.00, 90.00 degrees
Last column: magnetic moment on the atom in μB.
Sites, in units of the cell vectors:
Gd (0.500, 0.000, 0.000)  7.22
Si (0.500, 0.500, 0.500)  -0.02
Nd (0.000, 0.000, 0.500)  0.07
Nd (0.000, 0.500, 0.000)  0.07

---

Stability, highest: ii

---

## i
Material: NdSmGd2
Method: DFT, GGA-PBE
State: relaxed

Cell lengths 3.541, 3.541, 12.692 Å; angles 81.98, 81.98, 60.00 degrees
Last column: magnetic moment on the atom in μB.
Sites, in units of the cell vectors:
Gd (0.090, 0.090, 0.731)  7.27
Gd (0.910, 0.910, 0.269)  7.27
Nd (0.000, 0.000, 0.000)  0.22
Sm (0.500, 0.500, 0.500)  -0.08

---

## ii
Material: NdSmGd2
Method: DFT, GGA-PBE
State: relaxed

Cell lengths 5.748, 5.748, 5.748 Å; angles 60.00, 60.00, 60.00 degrees
Last column: magnetic moment on the atom in μB.
Sites, in units of the cell vectors:
Gd (0.750, 0.750, 0.750)  7.35
Gd (0.250, 0.250, 0.250)  7.35
Nd (0.500, 0.500, 0.500)  0.22
Sm (0.000, 0.000, 0.000)  0.20

---

Stability, highest: ii